(1)
A geometry-optimized ZrGaRh4 structure. Source: the Alexandria database, functional PBE.

As for the formation energy from the elements: -328 meV/atom. The calculation puts the volume at 16.4 Å³ per atom.

It has space group Pmmm (No. 47), with a = 2.9777 Å, b = 4.5406 Å, c = 7.2699 Å, α = 90.00°, β = 90.00° and γ = 90.00°. The asymmetric unit holds Zr at (0.0000, 0.0000, 0.0000), Ga at (0.5000, 0.5000, 0.5000), Rh at (0.0000, 0.5000, 0.2156) and Rh at (0.5000, 0.0000, 0.3044).

=====

(2)
A geometry-optimized Er2Sc2Pb2N structure. Source: the Alexandria database, functional PBE.

The calculation puts the volume at 22.8 Å³ per atom. The uncorrected formation energy is -0.935 eV per atom.

It has space group I4/mmm (No. 139), with a = 4.4926 Å, b = 4.4926 Å, c = 15.7853 Å, α = 90.00°, β = 90.00° and γ = 90.00°. The asymmetric unit holds Er at (0.0000, 0.0000, 0.1555), Sc at (0.0000, 0.5000, 0.0000), Pb at (0.0000, 0.0000, 0.3593) and N at (0.0000, 0.0000, 0.0000).

=====

(3)
A geometry-optimized K2LiPd structure. Source: the Alexandria database, functional PBE.

As for the formation energy from the elements: 77 meV/atom. The calculation puts the volume at 44.0 Å³ per atom.

It has space group I-42d (No. 122), with a = 11.9933 Å, b = 11.9933 Å, c = 4.8906 Å, α = 90.00°, β = 90.00° and γ = 90.00°. The asymmetric unit holds K at (0.0819, 0.2500, 0.1250), Li at (0.0000, 0.0000, 0.5000) and Pd at (0.0000, 0.0000, 0.0000).

=====

(4)
A geometry-optimized TlGa2Si structure. Source: the Alexandria database, functional PBE.

The calculation puts the volume at 21.7 Å³ per atom. The uncorrected formation energy is 0.331 eV per atom.

It has space group Fm-3m (No. 225), with a = 7.0236 Å, b = 7.0236 Å, c = 7.0236 Å, α = 90.00°, β = 90.00° and γ = 90.00°. The asymmetric unit holds Tl at (0.0000, 0.0000, 0.0000), Ga at (0.2500, 0.2500, 0.2500) and Si at (0.0000, 0.0000, 0.5000).

=====

(5)
A geometry-optimized Sr2ErGeSe5 structure. Source: the Alexandria database, functional PBE.

The calculation puts the volume at 27.9 Å³ per atom. The uncorrected formation energy is -1.492 eV per atom.

It has space group Cmc2_1 (No. 36), with a = 4.3231 Å, b = 18.4720 Å, c = 12.5807 Å, α = 90.00°, β = 90.00° and γ = 90.00°. The asymmetric unit holds Sr at (0.0000, 0.1178, 0.0000), Sr at (0.0000, 0.1236, 0.6384), Er at (0.0000, 0.2089, 0.3428), Ge at (0.0000, 0.4434, 0.7613), Se at (0.0000, 0.0472, 0.3601), Se at (0.0000, 0.2921, 0.9901), Se at (0.0000, 0.3157, 0.6875), Se at (0.0000, 0.3569, 0.3217) and Se at (0.0000, 0.4994, 0.0866).

=====

(6)
A geometry-optimized YGeHRh2 structure. Source: the Alexandria database, functional PBE.

The calculation puts the volume at 14.9 Å³ per atom. Its total DFT energy (no corrections) is -131.7 eV/cell.

It has space group Cmcm (No. 63), with a = 3.7151 Å, b = 10.8975 Å, c = 7.3565 Å, α = 90.00°, β = 90.00° and γ = 90.00°. The asymmetric unit holds Y at (0.0000, 0.0463, 0.2500), Ge at (0.0000, 0.2327, 0.7500), H at (0.0000, 0.5000, 0.0000) and Rh at (0.0000, 0.3472, 0.0532).

=====

(7)
A geometry-optimized AcCuBr structure. Source: the Alexandria database, functional PBE.

The calculation puts the volume at 32.2 Å³ per atom. The uncorrected formation energy is -0.993 eV per atom.

It has space group C2/m (No. 12), with a = 7.4992 Å, b = 4.3866 Å, c = 11.7545 Å, α = 90.00°, β = 91.95° and γ = 90.00°. The asymmetric unit holds Ac at (0.0207, 0.0000, 0.3254), Cu at (0.1666, 0.5000, 0.5011) and Br at (0.1795, 0.5000, 0.1523).

=====

(8)
A geometry-optimized PrYHgPd structure. Source: the Alexandria database, functional PBE.

As for the formation energy from the elements: -589 meV/atom. The calculation puts the volume at 25.2 Å³ per atom.

It has space group F-43m (No. 216), with a = 7.3919 Å, b = 7.3919 Å, c = 7.3919 Å, α = 90.00°, β = 90.00° and γ = 90.00°. The asymmetric unit holds Pr at (0.0000, 0.0000, 0.0000), Y at (0.0000, 0.0000, 0.5000), Hg at (0.2500, 0.2500, 0.2500) and Pd at (0.2500, 0.2500, 0.7500).

=====

(9)
A geometry-optimized RbSbMoN2 structure. Source: the Alexandria database, functional PBE.

The calculation puts the volume at 19.0 Å³ per atom. The uncorrected formation energy is 0.744 eV per atom.

It has space group P4/mmm (No. 123), with a = 4.1809 Å, b = 4.1809 Å, c = 5.4335 Å, α = 90.00°, β = 90.00° and γ = 90.00°. The asymmetric unit holds Rb at (0.0000, 0.0000, 0.0000), Sb at (0.5000, 0.5000, 0.0000), Mo at (0.5000, 0.5000, 0.5000) and N at (0.0000, 0.5000, 0.5000).

=====

(10)
A geometry-optimized Na2Pm3HoTe6 structure. Source: the Alexandria database, functional PBE.

The calculation puts the volume at 31.5 Å³ per atom. The uncorrected formation energy is -1.341 eV per atom.

It has space group C2/m (No. 12), with a = 7.7133 Å, b = 13.3459 Å, c = 7.7750 Å, α = 90.00°, β = 109.21° and γ = 90.00°. The asymmetric unit holds Na at (0.0000, 0.1652, 0.0000), Pm at (0.0000, 0.0000, 0.5000), Pm at (0.0000, 0.3296, 0.5000), Ho at (0.0000, 0.5000, 0.0000), Te at (0.2431, 0.5000, 0.7505) and Te at (0.2450, 0.3362, 0.2440).

=====

(11)
A geometry-optimized LaNd4Dy structure. Source: the Alexandria database, functional PBE.

As for the formation energy from the elements: 19 meV/atom. The calculation puts the volume at 35.1 Å³ per atom.

It has space group Cmmm (No. 65), with a = 5.2064 Å, b = 15.6490 Å, c = 5.1648 Å, α = 90.00°, β = 90.00° and γ = 90.00°. The asymmetric unit holds La at (0.0000, 0.0000, 0.0000), Nd at (0.0000, 0.1665, 0.5000), Nd at (0.0000, 0.3334, 0.0000) and Dy at (0.0000, 0.5000, 0.5000).

=====

(12)
A geometry-optimized TbMg8Pd2 structure. Source: the Alexandria database, functional PBE.

As for the formation energy from the elements: -220 meV/atom. The calculation puts the volume at 22.7 Å³ per atom.

It has space group C2/m (No. 12), with a = 8.0887 Å, b = 12.1606 Å, c = 5.2705 Å, α = 90.00°, β = 105.73° and γ = 90.00°. The asymmetric unit holds Tb at (0.0000, 0.0000, 0.0000), Mg at (0.0000, 0.2659, 0.0000), Mg at (0.0851, 0.5000, 0.7815), Mg at (0.1997, 0.1264, 0.5795) and Pd at (0.0000, 0.3069, 0.5000).